Material: ScReNi
Method: DFT, GGA-PBE
State: relaxed

Calculated values
total magnetization = 0.0 μB/cell
space-group type = P-6m2
total energy = -8.10 eV/atom
energy above the lowest structure with this stoichiometry = 3.334 kcal/mol of atoms
formation enthalpy at 0 K = 90 meV per atom

a = 4.414 Å, b = 4.414 Å, c = 2.773 Å
α = 90.00°, β = 90.00°, γ = 120.00°
Fractional coordinates of all 3 atoms:
1 Re 0.667 0.333 0.167
2 Sc 0.333 0.667 0.667
3 Ni 0.000 0.000 0.167